Computed, not measured: Tb2SmThSc after structural relaxation at the PBE level of DFT.

Values from the calculation:
ΔH_f (0 K) ... 0.054 eV/atom
E ... -54.9 eV/cell

The structure in CIF format:
```
data_Tb2SmThSc
_chemical_formula_sum 'Tb4 Sm2 Th2 Sc2'
_symmetry_space_group_name_H-M 'P 1'
_symmetry_Int_Tables_number 1
_symmetry_space_group_name_Hall 'P 1'
_cell_length_a 7.823
_cell_length_b 5.010
_cell_length_c 7.882
_cell_angle_alpha 90.00
_cell_angle_beta 90.35
_cell_angle_gamma 90.00
loop_
_atom_site_label
_atom_site_fract_x
_atom_site_fract_y
_atom_site_fract_z
Tb1 0.153 0.250 0.451
Tb2 0.342 0.250 0.053
Tb3 0.658 0.750 0.947
Tb4 0.847 0.750 0.549
Sm1 0.252 0.750 0.755
Sm2 0.748 0.250 0.245
Th1 0.445 0.750 0.351
Th2 0.555 0.250 0.649
Sc1 0.050 0.750 0.149
Sc2 0.950 0.250 0.851
```

***

Computed, not measured: Tb6Sm3ThSc2 after structural relaxation at the PBE level of DFT.

Values from the calculation:
ΔH_f (0 K) ... 0.041 eV/atom
E ... -61.5 eV/cell

The structure in CIF format:
```
data_Tb6Sm3ThSc2
_chemical_formula_sum 'Tb6 Sm3 Th1 Sc2'
_symmetry_space_group_name_H-M 'P 1'
_symmetry_Int_Tables_number 1
_symmetry_space_group_name_Hall 'P 1'
_cell_length_a 6.098
_cell_length_b 6.098
_cell_length_c 11.762
_cell_angle_alpha 94.96
_cell_angle_beta 94.96
_cell_angle_gamma 119.97
loop_
_atom_site_label
_atom_site_fract_x
_atom_site_fract_y
_atom_site_fract_z
Tb1 0.085 0.418 0.756
Tb2 0.248 0.248 0.244
Tb3 0.418 0.085 0.756
Tb4 0.582 0.915 0.244
Tb5 0.752 0.752 0.756
Tb6 0.915 0.582 0.244
Sm1 0.000 0.000 0.500
Sm2 0.333 0.667 0.500
Sm3 0.667 0.333 0.500
Th1 0.500 0.500 0.000
Sc1 0.167 0.833 0.000
Sc2 0.833 0.167 0.000
```

***

Computed, not measured: TbSmThSc after structural relaxation at the PBE level of DFT.

Values from the calculation:
ΔE to the lowest computed polymorph ... 0 meV/atom
ΔH_f (0 K) ... 0.090 eV/atom
E ... -22.7 eV/cell

The structure in CIF format:
```
data_TbSmThSc
_chemical_formula_sum 'Tb1 Sm1 Th1 Sc1'
_symmetry_space_group_name_H-M 'P 1'
_symmetry_Int_Tables_number 1
_symmetry_space_group_name_Hall 'P 1'
_cell_length_a 5.340
_cell_length_b 6.819
_cell_length_c 6.819
_cell_angle_alpha 29.18
_cell_angle_beta 90.00
_cell_angle_gamma 90.00
loop_
_atom_site_label
_atom_site_fract_x
_atom_site_fract_y
_atom_site_fract_z
Tb1 0.000 0.000 0.000
Sm1 0.500 0.867 0.867
Th1 0.000 0.244 0.244
Sc1 0.500 0.612 0.612
```

***

Computed, not measured: TbSmThSc after structural relaxation at the PBE level of DFT.

Values from the calculation:
ΔE to the lowest computed polymorph ... 33 meV/atom
ΔH_f (0 K) ... 0.124 eV/atom
E ... -22.6 eV/cell

The structure in CIF format:
```
data_TbSmThSc
_chemical_formula_sum 'Tb1 Sm1 Th1 Sc1'
_symmetry_space_group_name_H-M 'P 1'
_symmetry_Int_Tables_number 1
_symmetry_space_group_name_Hall 'P 1'
_cell_length_a 5.577
_cell_length_b 5.577
_cell_length_c 5.577
_cell_angle_alpha 60.00
_cell_angle_beta 60.00
_cell_angle_gamma 60.00
loop_
_atom_site_label
_atom_site_fract_x
_atom_site_fract_y
_atom_site_fract_z
Tb1 0.000 0.000 0.000
Sm1 0.750 0.750 0.750
Th1 0.250 0.250 0.250
Sc1 0.500 0.500 0.500
```

***

Computed, not measured: Tb2SmScTl2 after structural relaxation at the PBE level of DFT.

Values from the calculation:
ΔH_f (0 K) ... -0.261 eV/atom
E ... -53.2 eV/cell

The structure in CIF format:
```
data_Tb2SmScTl2
_chemical_formula_sum 'Tb4 Sm2 Sc2 Tl4'
_symmetry_space_group_name_H-M 'P 1'
_symmetry_Int_Tables_number 1
_symmetry_space_group_name_Hall 'P 1'
_cell_length_a 4.982
_cell_length_b 9.834
_cell_length_c 6.961
_cell_angle_alpha 90.00
_cell_angle_beta 90.00
_cell_angle_gamma 90.00
loop_
_atom_site_label
_atom_site_fract_x
_atom_site_fract_y
_atom_site_fract_z
Tb1 0.000 0.050 0.000
Tb2 0.000 0.950 0.500
Tb3 0.500 0.186 0.291
Tb4 0.500 0.814 0.791
Sm1 0.500 0.451 0.902
Sm2 0.500 0.549 0.402
Sc1 0.000 0.304 0.612
Sc2 0.000 0.696 0.112
Tl1 0.000 0.379 0.178
Tl2 0.000 0.621 0.678
Tl3 0.500 0.138 0.738
Tl4 0.500 0.862 0.238
```

***

Computed, not measured: TbSm2ScTl2 after structural relaxation at the PBE level of DFT.

Values from the calculation:
ΔH_f (0 K) ... -0.260 eV/atom
E ... -53.4 eV/cell

The structure in CIF format:
```
data_TbSm2ScTl2
_chemical_formula_sum 'Tb2 Sm4 Sc2 Tl4'
_symmetry_space_group_name_H-M 'P 1'
_symmetry_Int_Tables_number 1
_symmetry_space_group_name_Hall 'P 1'
_cell_length_a 4.990
_cell_length_b 9.924
_cell_length_c 6.948
_cell_angle_alpha 90.00
_cell_angle_beta 90.00
_cell_angle_gamma 90.00
loop_
_atom_site_label
_atom_site_fract_x
_atom_site_fract_y
_atom_site_fract_z
Tb1 0.000 0.046 0.000
Tb2 0.000 0.954 0.500
Sm1 0.000 0.312 0.382
Sm2 0.000 0.688 0.882
Sm3 0.500 0.451 0.099
Sm4 0.500 0.549 0.599
Sc1 0.500 0.191 0.709
Sc2 0.500 0.809 0.209
Tl1 0.000 0.354 0.837
Tl2 0.000 0.646 0.337
Tl3 0.500 0.115 0.273
Tl4 0.500 0.885 0.773
```

***

Question: E of number 2 (Tb6Sm3ThSc2)?
Answer: -61.5 eV/cell

***

Question: Which of these has the highest ΔH_f (0 K)?
Answer: number 4

***

Question: The highest E belongs to which entry?
Answer: number 4

***

Question: Which of these has the lowest ΔH_f (0 K)?
Answer: Tb2SmScTl2